[1]
# PBE GaFe2P2, relaxed
# Total moment (μB/f.u.): 0.00
# E_form (eV/atom): -0.174
# Mass density (g/cm3): 6.34
# N(E_F) (states/eV/atom): 0.42
# VASP energy (eV per atom): -6.328
data_GaFe2P2
_symmetry_space_group_name_H-M 'I 4/m m m'
_symmetry_Int_Tables_number 139
_symmetry_space_group_name_Hall '-I 4 2'
_cell_length_a 3.421
_cell_length_b 3.421
_cell_length_c 10.893
_cell_angle_alpha 90.00
_cell_angle_beta 90.00
_cell_angle_gamma 90.00
loop_
_atom_site_label
_atom_site_fract_x
_atom_site_fract_y
_atom_site_fract_z
Ga1 0.000 0.000 0.000
Fe1 0.000 0.000 0.377
P1 0.000 0.500 0.250

---

[2]
# PBE Sc2ReRu, relaxed
# Total moment (μB/f.u.): 0.00
# E_form (eV/atom): -0.051
# Mass density (g/cm3): 9.37
# N(E_F) (states/eV/atom): 0.95
# VASP energy (eV per atom): -8.648
data_Sc2ReRu
_symmetry_space_group_name_H-M 'F -4 3 m'
_symmetry_Int_Tables_number 216
_symmetry_space_group_name_Hall 'F -4 2 3'
_cell_length_a 6.443
_cell_length_b 6.443
_cell_length_c 6.443
_cell_angle_alpha 90.00
_cell_angle_beta 90.00
_cell_angle_gamma 90.00
loop_
_atom_site_label
_atom_site_fract_x
_atom_site_fract_y
_atom_site_fract_z
Sc1 0.000 0.000 0.000
Sc2 0.250 0.250 0.250
Re1 0.000 0.000 0.500
Ru1 0.250 0.250 0.750

---

[3]
# PBE Tb3MgTl3, relaxed
# Total moment (μB/f.u.): 0.00
# E_form (eV/atom): -0.148
# Mass density (g/cm3): 9.36
# N(E_F) (states/eV/atom): 0.84
# VASP energy (eV per atom): -3.375
data_Tb3MgTl3
_symmetry_space_group_name_H-M 'P 63/m'
_symmetry_Int_Tables_number 176
_symmetry_space_group_name_Hall '-P 6c'
_cell_length_a 9.0761
_cell_length_b 9.0761
_cell_length_c 5.5417
_cell_angle_alpha 90.00
_cell_angle_beta 90.00
_cell_angle_gamma 120.00
loop_
_atom_site_label
_atom_site_fract_x
_atom_site_fract_y
_atom_site_fract_z
Tb1 0.0986 0.6462 0.2500
Mg1 0.3333 0.6667 0.7500
Tl1 0.0550 0.8016 0.7500

---

[4]
# PBE MnFe2Ge, relaxed
# Total moment (μB/f.u.): 3.15
# E_form (eV/atom): 0.023
# Mass density (g/cm3): 8.55
# N(E_F) (states/eV/atom): 0.75
# VASP energy (eV per atom): -7.655
data_MnFe2Ge
_symmetry_space_group_name_H-M 'P 4/m m m'
_symmetry_Int_Tables_number 123
_symmetry_space_group_name_Hall '-P 4 2'
_cell_length_a 2.916
_cell_length_b 2.916
_cell_length_c 5.465
_cell_angle_alpha 90.00
_cell_angle_beta 90.00
_cell_angle_gamma 90.00
loop_
_atom_site_label
_atom_site_fract_x
_atom_site_fract_y
_atom_site_fract_z
Mn1 0.000 0.000 0.000
Fe1 0.500 0.500 0.248
Ge1 0.000 0.000 0.500

---

[5]
# PBE Ho4InSe2, relaxed
# Total moment (μB/f.u.): 0.00
# Mass density (g/cm3): 8.29
# N(E_F) (states/eV/atom): 0.72
# VASP energy (eV per atom): -5.131
data_Ho4InSe2
_symmetry_space_group_name_H-M 'C m c m'
_symmetry_Int_Tables_number 63
_symmetry_space_group_name_Hall '-C 2c 2'
_cell_length_a 4.032
_cell_length_b 13.416
_cell_length_c 13.811
_cell_angle_alpha 90.00
_cell_angle_beta 90.00
_cell_angle_gamma 90.00
loop_
_atom_site_label
_atom_site_fract_x
_atom_site_fract_y
_atom_site_fract_z
Ho1 0.000 0.000 0.000
Ho2 0.000 0.270 0.123
Ho3 0.000 0.429 0.750
In1 0.000 0.103 0.750
Se1 0.000 0.363 0.557

---

[6]
# PBE Si2RhAu, relaxed
# Total moment (μB/f.u.): 0.00
# Energy above the lowest structure with this stoichiometry (eV/atom): 0.251
# Mass density (g/cm3): 9.68
# N(E_F) (states/eV/atom): 0.16
# VASP energy (eV per atom): -5.401
data_Si2RhAu
_symmetry_space_group_name_H-M 'P 4 m m'
_symmetry_Int_Tables_number 99
_cell_length_a 2.898
_cell_length_b 2.898
_cell_length_c 7.270
_cell_angle_alpha 90.00
_cell_angle_beta 90.00
_cell_angle_gamma 90.00
loop_
_symmetry_equiv_pos_as_xyz
'x,y,z'
'-y,x,z'
'-x,-y,z'
'y,-x,z'
'-x,y,z'
'y,x,z'
'x,-y,z'
'-y,-x,z'
loop_
_atom_site_label
_atom_site_fract_x
_atom_site_fract_y
_atom_site_fract_z
Si1 0.000 0.000 0.000
Si2 0.500 0.500 0.242
Rh1 0.500 0.500 0.821
Au1 0.000 0.000 0.523

---

[7]
# PBE Y2In2Te, relaxed
# Total moment (μB/f.u.): 0.00
# Energy above the lowest structure with this stoichiometry (eV/atom): 0.154
# Mass density (g/cm3): 6.31
# N(E_F) (states/eV/atom): 0.23
# VASP energy (eV per atom): -4.779
data_Y2In2Te
_symmetry_space_group_name_H-M 'P 4/m b m'
_symmetry_Int_Tables_number 127
_symmetry_space_group_name_Hall '-P 4 2ab'
_cell_length_a 8.114
_cell_length_b 8.114
_cell_length_c 4.279
_cell_angle_alpha 90.00
_cell_angle_beta 90.00
_cell_angle_gamma 90.00
loop_
_atom_site_label
_atom_site_fract_x
_atom_site_fract_y
_atom_site_fract_z
Y1 0.174 0.326 0.000
In1 0.126 0.626 0.500
Te1 0.000 0.000 0.500

---

[8]
# PBE Cr2NiBr, relaxed
# Total moment (μB/f.u.): 1.41
# Energy above the lowest structure with this stoichiometry (eV/atom): 0.442
# Mass density (g/cm3): 7.41
# N(E_F) (states/eV/atom): 1.52
# VASP energy (eV per atom): -5.868
data_Cr2NiBr
_symmetry_space_group_name_H-M 'R -3 m'
_symmetry_Int_Tables_number 166
_symmetry_space_group_name_Hall '-R 3 2"'
_cell_length_a 2.8283
_cell_length_b 2.8283
_cell_length_c 23.5284
_cell_angle_alpha 90.00
_cell_angle_beta 90.00
_cell_angle_gamma 120.00
loop_
_atom_site_label
_atom_site_fract_x
_atom_site_fract_y
_atom_site_fract_z
Cr1 0.0000 0.0000 0.2480
Ni1 0.0000 0.0000 0.5000
Br1 0.0000 0.0000 0.0000

---

[9]
# PBE Zr3Be8Ir, relaxed
# Total moment (μB/f.u.): 0.00
# E_form (eV/atom): -0.265
# Mass density (g/cm3): 6.14
# N(E_F) (states/eV/atom): 0.53
# VASP energy (eV per atom): -5.625
data_Zr3Be8Ir
_symmetry_space_group_name_H-M 'R 3 m'
_symmetry_Int_Tables_number 160
_symmetry_space_group_name_Hall 'R 3 -2"'
_cell_length_a 4.6559
_cell_length_b 4.6559
_cell_length_c 23.2677
_cell_angle_alpha 90.00
_cell_angle_beta 90.00
_cell_angle_gamma 120.00
loop_
_atom_site_label
_atom_site_fract_x
_atom_site_fract_y
_atom_site_fract_z
Zr1 0.0000 0.0000 0.0000
Zr2 0.0000 0.0000 0.1269
Zr3 0.0000 0.0000 0.5059
Be1 0.0000 0.0000 0.3153
Be2 0.0000 0.0000 0.8161
Be3 0.0000 0.5000 0.0628
Be4 0.0017 0.5008 0.5687
Ir1 0.0000 0.0000 0.6269

---

[10]
# PBE CeZnAgP2, relaxed
# Total moment (μB/f.u.): 1.02
# E_form (eV/atom): -0.641
# Mass density (g/cm3): 6.15
# N(E_F) (states/eV/atom): 1.15
# VASP energy (eV per atom): -4.817
data_CeZnAgP2
_symmetry_space_group_name_H-M 'P 3 m 1'
_symmetry_Int_Tables_number 156
_cell_length_a 4.1627
_cell_length_b 4.1627
_cell_length_c 6.7516
_cell_angle_alpha 90.00
_cell_angle_beta 90.00
_cell_angle_gamma 120.00
loop_
_symmetry_equiv_pos_as_xyz
'x,y,z'
'-y,x-y,z'
'-x+y,-x,z'
'-y,-x,z'
'-x+y,y,z'
'x,x-y,z'
loop_
_atom_site_label
_atom_site_fract_x
_atom_site_fract_y
_atom_site_fract_z
Ce1 0.0000 0.0000 0.0000
Zn1 0.3333 0.6667 0.6207
Ag1 0.6667 0.3333 0.3575
P1 0.3333 0.6667 0.2385
P2 0.6667 0.3333 0.7448

---

[11]
# PBE NiIrSe, relaxed
# Total moment (μB/f.u.): 0.00
# Energy above the lowest structure with this stoichiometry (eV/atom): 0.059
# Mass density (g/cm3): 12.86
# N(E_F) (states/eV/atom): 1.09
# VASP energy (eV per atom): -5.720
data_NiIrSe
_symmetry_space_group_name_H-M 'I 4 m m'
_symmetry_Int_Tables_number 107
_symmetry_space_group_name_Hall 'I 4 -2'
_cell_length_a 2.990
_cell_length_b 2.990
_cell_length_c 9.525
_cell_angle_alpha 90.00
_cell_angle_beta 90.00
_cell_angle_gamma 90.00
loop_
_atom_site_label
_atom_site_fract_x
_atom_site_fract_y
_atom_site_fract_z
Ni1 0.000 0.000 0.000
Ir1 0.000 0.000 0.678
Se1 0.000 0.000 0.347

---

[12]
# PBE ZnNiBr, relaxed
# Total moment (μB/f.u.): 0.00
# Energy above the lowest structure with this stoichiometry (eV/atom): 0.038
# Mass density (g/cm3): 5.57
# N(E_F) (states/eV/atom): 0.01
# VASP energy (eV per atom): -3.110
data_ZnNiBr
_symmetry_space_group_name_H-M 'C 1 m 1'
_symmetry_Int_Tables_number 8
_cell_length_a 6.922
_cell_length_b 3.997
_cell_length_c 9.104
_cell_angle_alpha 90.00
_cell_angle_beta 104.95
_cell_angle_gamma 90.00
loop_
_symmetry_equiv_pos_as_xyz
'x,y,z'
'x,-y,z'
'x+1/2,y+1/2,z'
'x+1/2,-y+1/2,z'
loop_
_atom_site_label
_atom_site_fract_x
_atom_site_fract_y
_atom_site_fract_z
Zn1 0.000 0.000 0.000
Zn2 0.228 0.500 0.182
Ni1 0.133 0.500 0.900
Ni2 0.361 0.000 0.081
Br1 0.246 0.000 0.749
Br2 0.453 0.000 0.359